{
  "formula": "Pa2ZnB2Ir5",
  "functional": "GGA-PBE",
  "state": "relaxed",
  "volume_a3_per_cell": 302.77,
  "final_energy_ha_per_atom": -0.308,
  "e_form_kj_per_mol_fu": -564,
  "space_group": "P4/mbm (127)",
  "lattice_angstrom": [[3.4301, 0.0000, 0.0000], [0.0000, 9.3952, 0.0000], [0.0000, 0.0000, 9.3952]],
  "species": ["Pa", "Pa", "Pa", "Pa", "Zn", "Zn", "B", "B", "B", "B", "Ir", "Ir", "Ir", "Ir", "Ir", "Ir", "Ir", "Ir", "Ir", "Ir"],
  "frac_coords": [[0.0000, 0.6780, 0.1780], [0.0000, 0.3220, 0.8220], [0.0000, 0.1780, 0.3220], [0.0000, 0.8220, 0.6780], [0.0000, 0.0000, 0.0000], [0.0000, 0.5000, 0.5000], [0.0000, 0.1215, 0.6215], [0.0000, 0.8785, 0.3785], [0.0000, 0.6215, 0.8785], [0.0000, 0.3785, 0.1215], [0.5000, 0.2193, 0.0700], [0.5000, 0.7807, 0.9300], [0.5000, 0.0700, 0.7807], [0.5000, 0.7193, 0.4300], [0.5000, 0.9300, 0.2193], [0.5000, 0.2807, 0.5700], [0.5000, 0.5700, 0.7193], [0.5000, 0.4300, 0.2807], [0.5000, 0.5000, 0.0000], [0.5000, 0.0000, 0.5000]]
}